(1)
## CsHgBi (GGA-PBE)

Data for a relaxed CsHgBi crystal.

## Properties
Total magnetic moment = 0.0000 μB per atom
Final energy = -5.93 eV per formula unit
Calculated density = 7.1 g cm⁻³
SG = No. 1

```
CsHgBi
1.0
-1.646 -1.074 5.109
7.186 -0.730 -0.786
0.306 6.032 4.319
Bi Cs Hg
2 2 2
direct
0.509 0.320 0.967
0.019 0.489 0.115
0.200 0.292 0.558
0.674 0.893 0.210
0.364 0.861 0.800
0.856 0.693 0.648
```

=====

(2)
## Na3Pm3SnO8 (GGA-PBE)

Data for a relaxed Na3Pm3SnO8 crystal.

## Properties
Energy relative to the elements, uncorrected = -2449 meV/atom
Total magnetic moment = 0.0000 μB per atom
Final energy = -98.61 eV per formula unit
Calculated density = 5.3 g cm⁻³
SG = No. 166

```
Na3Pm3SnO8
1.0
6.991 0.000 0.000
-3.496 6.054 -0.021
0.000 -4.018 5.608
Pm Na O Sn
3 3 8 1
direct
0.500 0.500 0.500
0.500 0.000 0.500
0.000 0.500 0.500
0.000 0.500 0.000
0.500 0.500 0.000
0.000 0.000 0.000
0.263 0.526 0.290
0.233 0.015 0.297
0.782 0.015 0.297
0.767 0.985 0.703
0.218 0.436 0.703
0.218 0.985 0.703
0.782 0.564 0.297
0.737 0.474 0.710
0.000 0.000 0.500
```

=====

(3)
## KLi3W (GGA-PBE)

Data for a relaxed KLi3W crystal.

## Properties
Total magnetic moment = 0.4027 μB per atom
Final energy = -11.49 eV per formula unit
Calculated density = 4.3 g cm⁻³
SG = No. 221
Energy above the lowest structure with this stoichiometry = 44.43 kJ per mole of atoms

```
KLi3W
1.0
-1.103 -1.201 -4.258
4.414 0.007 -1.145
0.308 -4.399 1.161
K Li W
1 3 1
direct
0.000 0.000 0.000
0.500 0.000 0.000
0.000 0.500 0.000
0.000 0.000 0.500
0.500 0.500 0.500
```

=====

(4)
## NaLiGa3 (GGA-PBE)

Data for a relaxed NaLiGa3 crystal.

## Properties
Total magnetic moment = 0.0000 μB per atom
Final energy = -11.73 eV per formula unit
Calculated density = 3.7 g cm⁻³
SG = No. 221
Energy above the lowest structure with this stoichiometry = 31.00 kJ per mole of atoms

```
NaLiGa3
1.0
-0.865 -4.015 2.388
-1.515 -2.057 -4.006
4.419 -1.491 -0.906
Ga Na Li
3 1 1
direct
0.500 0.000 0.000
0.000 0.000 0.500
0.000 0.500 0.000
0.500 0.500 0.500
0.000 0.000 0.000
```

=====

(5)
## CrHgSe2 (GGA-PBE)

Data for a relaxed CrHgSe2 crystal.

## Properties
Energy relative to the elements, uncorrected = 279 meV/atom
Total magnetic moment = 0.9974 μB per atom
Final energy = -15.78 eV per formula unit
Calculated density = 5.8 g cm⁻³
SG = No. 166

```
CrHgSe2
1.0
-7.209 -2.856 -2.483
-4.693 -3.223 -5.820
-4.590 -6.120 -2.787
Se Cr Hg
2 1 1
direct
0.102 0.102 0.102
0.898 0.898 0.898
0.000 0.000 0.000
0.500 0.500 0.500
```

=====

(6)
## PrGaSn4 (GGA-PBE)

Data for a relaxed PrGaSn4 crystal.

## Properties
Total magnetic moment = 0.0000 μB per atom
Final energy = -24.82 eV per formula unit
Calculated density = 6.8 g cm⁻³
SG = No. 216

```
PrGaSn4
1.0
-5.086 -0.344 3.496
-1.086 -5.055 3.388
0.461 0.249 6.159
Sn Ga Pr
4 1 1
direct
0.124 0.625 0.625
0.625 0.625 0.625
0.625 0.625 0.124
0.625 0.124 0.625
0.000 0.000 0.000
0.250 0.250 0.250
```

=====

Look up the calculated density of the first one.
7.1 g cm⁻³

=====

What did the first record say?
## CsHgBi (GGA-PBE)

Data for a relaxed CsHgBi crystal.

## Properties
Total magnetic moment = 0.0000 μB per atom
Final energy = -5.93 eV per formula unit
Calculated density = 7.1 g cm⁻³
SG = No. 1

```
CsHgBi
1.0
-1.646 -1.074 5.109
7.186 -0.730 -0.786
0.306 6.032 4.319
Bi Cs Hg
2 2 2
direct
0.509 0.320 0.967
0.019 0.489 0.115
0.200 0.292 0.558
0.674 0.893 0.210
0.364 0.861 0.800
0.856 0.693 0.648
```